one) MgB3Mo | PBE | optimized geometry

Cell and atoms, written as POSCAR:
```
MgB3Mo
1.0
-3.765 1.184 -0.548
-1.255 -3.744 0.532
-0.357 0.675 3.911
Mo B Mg
1 3 1
direct
0.500 0.500 0.500
0.000 0.500 0.000
0.000 0.000 0.500
0.500 0.000 0.000
0.000 0.000 0.000
```

***

two) MgB3Mo | PBE | optimized geometry

Cell and atoms, written as POSCAR:
```
MgB3Mo
1.0
-3.369 -1.294 -2.048
2.381 -1.123 -3.207
0.446 -3.779 1.654
Mo B Mg
1 3 1
direct
0.000 0.000 0.000
0.000 0.500 0.000
0.000 0.000 0.500
0.500 0.000 0.000
0.500 0.500 0.500
```

***

Last place for stability: one)

***

one) Mg3BN3 | PBE | optimized geometry

Cell and atoms, written as POSCAR:
```
Mg3BN3
1.0
-2.924 2.155 2.682
3.120 -1.843 4.882
1.407 5.265 -2.697
Mg B N
6 2 6
direct
0.750 0.725 0.646
0.750 0.354 0.079
0.750 0.921 0.275
0.250 0.275 0.354
0.250 0.646 0.921
0.250 0.079 0.725
0.250 0.667 0.333
0.750 0.333 0.667
0.250 0.692 0.593
0.250 0.407 0.099
0.250 0.901 0.308
0.750 0.308 0.407
0.750 0.593 0.901
0.750 0.099 0.692
```

***

two) Mg3BN3 | PBE | optimized geometry

Cell and atoms, written as POSCAR:
```
Mg3BN3
1.0
4.273 0.000 0.000
0.000 5.824 -0.715
0.000 -0.477 5.848
Mg B N
6 2 6
direct
0.250 0.607 0.835
0.250 0.165 0.393
0.250 0.102 0.898
0.750 0.393 0.165
0.750 0.835 0.607
0.750 0.898 0.102
0.750 0.295 0.705
0.250 0.705 0.295
0.750 0.549 0.811
0.750 0.189 0.451
0.750 0.126 0.874
0.250 0.451 0.189
0.250 0.811 0.549
0.250 0.874 0.126
```

***

Last place for stability: two)

***

one) MgBN2 | PBE | optimized geometry

Cell and atoms, written as POSCAR:
```
MgBN2
1.0
4.692 0.000 0.000
0.000 4.987 0.000
0.000 0.000 6.129
Mg B N
4 4 8
direct
0.994 0.590 0.381
0.494 0.410 0.619
0.494 0.910 0.881
0.994 0.090 0.119
0.007 0.563 0.876
0.507 0.937 0.376
0.007 0.063 0.624
0.507 0.437 0.124
0.441 0.130 0.170
0.441 0.630 0.330
0.941 0.870 0.830
0.941 0.370 0.670
0.831 0.472 0.079
0.331 0.528 0.921
0.331 0.028 0.579
0.831 0.972 0.421
```

***

two) MgBN2 | PBE | optimized geometry

Cell and atoms, written as POSCAR:
```
MgBN2
1.0
0.000 2.532 2.532
2.532 0.000 2.532
2.532 2.532 0.000
Mg B N
1 1 2
direct
0.500 0.500 0.500
0.000 0.000 0.000
0.250 0.250 0.250
0.750 0.750 0.750
```

***

three) MgBN2 | PBE | optimized geometry

Cell and atoms, written as POSCAR:
```
MgBN2
1.0
4.640 0.000 0.000
0.000 4.640 0.000
2.320 2.320 3.155
Mg B N
2 2 4
direct
0.000 0.000 0.000
0.750 0.250 0.500
0.500 0.500 0.000
0.250 0.750 0.500
0.527 0.125 0.250
0.223 0.625 0.250
0.375 0.473 0.750
0.875 0.777 0.750
```

***

Last place for stability: two)